Below is an optimized crystal structure of CeMn2H7, with properties calculated at the PBE level.

Output
DOS at the Fermi energy, states/eV per cell: 5.81
M_tot, μB/f.u.: 2.59
VASP energy, eV/atom: -4.9292

The structure in POSCAR format:
```
CeMn2H7
1.0
-0.873 -0.510 -3.481
1.672 -4.881 0.296
-4.626 1.211 0.982
Ce Mn H
1 2 7
Direct
0.000 0.000 0.000 Ce
0.500 0.302 0.604 Mn
0.500 0.698 0.396 Mn
0.000 0.302 0.604 H
0.000 0.698 0.396 H
0.500 0.325 0.276 H
0.500 0.675 0.724 H
0.500 0.049 0.724 H
0.500 0.951 0.276 H
0.500 0.500 0.000 H
```

=====

Below is an optimized crystal structure of CeMnH4, with properties calculated at the PBE level.

Output
DOS at the Fermi energy, states/eV per cell: 4.91
M_tot, μB/f.u.: 0.32
VASP energy, eV/atom: -4.9548

The structure in POSCAR format:
```
CeMnH4
1.0
-2.137 1.858 -1.824
-2.283 -0.203 2.469
1.694 3.792 1.879
Ce Mn H
1 1 4
Direct
0.500 0.000 0.000 Ce
0.000 0.500 0.500 Mn
0.000 0.500 0.152 H
0.000 0.500 0.848 H
0.000 0.000 0.500 H
0.500 0.500 0.500 H
```

=====

Below is an optimized crystal structure of CeMn2H9, with properties calculated at the PBE level.

Output
DOS at the Fermi energy, states/eV per cell: 9.10
M_tot, μB/f.u.: 0.90
VASP energy, eV/atom: -4.4584

The structure in POSCAR format:
```
CeMn2H9
1.0
0.151 2.249 4.421
5.060 -0.970 3.105
2.347 5.537 -0.112
Ce Mn H
2 4 18
Direct
0.500 0.000 0.000 Ce
0.250 0.500 0.500 Ce
0.875 0.250 0.750 Mn
0.875 0.750 0.250 Mn
0.875 0.250 0.250 Mn
0.375 0.750 0.750 Mn
0.750 0.500 0.500 H
0.000 0.000 0.000 H
0.032 0.923 0.685 H
0.639 0.077 0.315 H
0.705 0.185 0.577 H
0.466 0.815 0.423 H
0.718 0.815 0.577 H
0.111 0.185 0.423 H
0.045 0.923 0.315 H
0.284 0.077 0.685 H
0.718 0.577 0.815 H
0.111 0.423 0.185 H
0.045 0.315 0.923 H
0.284 0.685 0.077 H
0.032 0.685 0.923 H
0.639 0.315 0.077 H
0.705 0.577 0.185 H
0.466 0.423 0.815 H
```